## K4LiMn4O8 (PBE+U)

Data for crystalline K4LiMn4O8 at its relaxed geometry.

Properties
As for the space-group type: No. 6. Its crystal system is monoclinic. For the excess energy over the best structure of this formula in the dataset, the calculation gives 0.009 eV/atom. As for the total energy: -5.878 eV/atom.

abc: 3.0034 6.9402 12.3329
angles: 89.05 90.00 90.00
With the nearest neighbours (Å) after each atom.
Sites, in units of the cell vectors:
K: 0.0000 0.6601 0.9080  5 O 2.55-2.81, 1 Li 2.85
K: 0.0000 0.8189 0.3533  6 O 2.66-2.89
K: 0.5000 0.4482 0.1608  5 O 2.69-2.84, 2 K 3.00
K: 0.5000 0.0279 0.6281  5 O 2.62-2.79
Li: 0.0000 0.3774 0.7430  3 O 1.90-1.91
Mn: 0.0000 0.1608 0.9116  5 O 2.07-2.19
Mn: 0.5000 0.9607 0.0884  5 O 1.99-2.04
Mn: 0.5000 0.5490 0.5693  4 O 1.96-2.03
Mn: 0.0000 0.2983 0.4119  4 O 1.95-2.00
O: 0.5000 0.3451 0.8362  2 Li 1.90
O: 0.0000 0.7828 0.1227  2 Mn 1.99
O: 0.0000 0.7294 0.5832  2 Mn 1.96
O: 0.5000 0.1187 0.4068  2 Mn 1.95
O: 0.5000 0.9561 0.9229  3 Mn 2.04-2.07
O: 0.0000 0.1548 0.0896  3 Mn 2.02-2.19
O: 0.5000 0.4860 0.3899  2 Mn 2.00
O: 0.0000 0.3550 0.5887  1 Li 1.91, 2 Mn 2.03

---

## K11LiMn4O16 (PBE+U)

Data for crystalline K11LiMn4O16 at its relaxed geometry.

Properties
As for the space-group type: No. 121. Its crystal system is tetragonal. As for the total energy: -5.338 eV/atom.

abc: 8.0230 8.0228 10.4329
angles: 112.61 112.61 90.00
With the nearest neighbours (Å) after each atom.
Sites, in units of the cell vectors:
K: 0.2876 0.2877 0.5754  6 O 2.69-2.85
K: 0.5000 0.9999 0.0000  4 O 2.67
K: 0.2500 0.7500 0.5000  8 O 2.92-3.02
K: 0.9224 0.9223 0.2437  5 O 2.68-2.95
K: 0.0776 0.6787 0.7563  5 O 2.68-2.95
K: 0.7124 0.7123 0.4246  6 O 2.69-2.85
K: 0.0000 0.4998 0.0000  4 O 2.67
K: 0.6785 0.0776 0.7562  5 O 2.68-2.95
K: 0.3215 0.3214 0.2438  5 O 2.68-2.95
K: 0.7500 0.2500 0.5000  8 O 2.92-3.02
K: 0.5000 0.5000 0.0000  8 O 2.98
Li: 0.0000 0.0000 0.0000  4 O 1.94
Mn: 0.8681 0.3839 0.2519  4 O 1.72
Mn: 0.1319 0.1320 0.7481  4 O 1.72
Mn: 0.6161 0.6162 0.7482  4 O 1.72-1.73
Mn: 0.3839 0.8680 0.2518  4 O 1.72-1.73
O: 0.4322 0.0075 0.4397  1 Mn 1.73
O: 0.7960 0.7963 0.8731  1 Mn 1.72
O: 0.6448 0.3346 0.2242  1 Mn 1.72
O: 0.3347 0.6447 0.2242  1 Mn 1.72
O: 0.0074 0.4325 0.4400  1 Mn 1.72
O: 0.5796 0.8896 0.2243  1 Mn 1.72
O: 0.3552 0.1104 0.7758  1 Mn 1.72
O: 0.2040 0.9232 0.1269  1 Mn 1.72
O: 0.5678 0.5677 0.5603  1 Mn 1.73
O: 0.0763 0.0766 0.8726  1 Mn 1.72
O: 0.6653 0.4205 0.7758  1 Mn 1.72
O: 0.9926 0.9926 0.5601  1 Mn 1.72
O: 0.8897 0.5795 0.2243  1 Mn 1.72
O: 0.9237 0.2040 0.1274  1 Mn 1.72
O: 0.1103 0.3552 0.7757  1 Mn 1.72
O: 0.4204 0.6653 0.7757  1 Mn 1.72

---

## K4Li3Mn2O8 (PBE+U)

Data for crystalline K4Li3Mn2O8 at its relaxed geometry.

Properties
As for the space-group type: No. 7. Its crystal system is monoclinic. As for the total energy: -5.336 eV/atom.

abc: 8.3712 5.6918 11.4482
angles: 75.17 90.00 90.00
With the nearest neighbours (Å) after each atom.
Sites, in units of the cell vectors:
K: 0.2540 0.3437 0.8499  4 O 2.57-2.79
K: 0.0138 0.8378 0.3620  5 O 2.65-2.97
K: 0.7662 0.6831 0.6527  5 O 2.75-3.04
K: 0.9862 0.8378 0.8620  5 O 2.65-2.97
K: 0.4570 0.2343 0.1289  5 O 2.71-3.02, 1 Li 2.81
K: 0.7460 0.3437 0.3499  4 O 2.57-2.79
K: 0.5430 0.2343 0.6289  5 O 2.71-3.02, 1 Li 2.81
K: 0.2338 0.6831 0.1527  5 O 2.75-3.04
Li: 0.7116 0.3336 0.9177  3 O 1.87-1.99
Li: 0.2441 0.6197 0.5634  4 O 1.94-2.02
Li: 0.7037 0.8924 0.1988  4 O 1.97-2.14
Li: 0.2963 0.8924 0.6988  4 O 1.97-2.14
Li: 0.2884 0.3336 0.4177  3 O 1.87-1.99
Li: 0.7559 0.6197 0.0634  4 O 1.94-2.02
Mn: 0.9537 0.1466 0.0727  4 O 1.70-1.75
Mn: 0.4800 0.8462 0.4298  4 O 1.79-1.86
Mn: 0.0463 0.1466 0.5727  4 O 1.70-1.75
Mn: 0.5200 0.8462 0.9298  4 O 1.79-1.86
O: 0.5389 0.1678 0.8715  1 Mn 1.79, 1 Li 1.87
O: 0.9438 0.2583 0.9194  1 Mn 1.71
O: 0.3113 0.6751 0.3959  1 Mn 1.81, 2 Li 1.91-1.94
O: 0.6832 0.8090 0.3760  1 Mn 1.84, 1 Li 1.97
O: 0.4484 0.7585 0.5960  1 Mn 1.86, 2 Li 1.96-2.01
O: 0.0807 0.8323 0.6170  1 Mn 1.75
O: 0.1336 0.2081 0.1261  1 Mn 1.70
O: 0.6887 0.6751 0.8959  1 Mn 1.81, 2 Li 1.91-1.94
O: 0.7835 0.2594 0.1281  1 Mn 1.75
O: 0.3168 0.8090 0.8760  1 Mn 1.84, 1 Li 1.97
O: 0.4611 0.1678 0.3715  1 Mn 1.79, 1 Li 1.87
O: 0.0562 0.2583 0.4194  1 Mn 1.71
O: 0.8664 0.2081 0.6261  1 Mn 1.70
O: 0.2165 0.2594 0.6281  1 Mn 1.75
O: 0.5516 0.7585 0.0960  1 Mn 1.86, 2 Li 1.96-2.01
O: 0.9193 0.8323 0.1170  1 Mn 1.75

---

## K8Li9Mn4O16 (PBE+U)

Data for crystalline K8Li9Mn4O16 at its relaxed geometry.

Properties
As for the space-group type: No. 1. Its crystal system is triclinic. As for the total energy: -5.231 eV/atom.

abc: 5.6185 8.6953 10.8214
angles: 88.18 78.39 89.12
With the nearest neighbours (Å) after each atom.
Sites, in units of the cell vectors:
K: 0.8682 0.0179 0.8453  4 O 2.66-2.96
K: 0.8657 0.2794 0.3966  5 O 2.68-2.96, 2 Li 2.89-2.98
K: 0.6760 0.4597 0.6531  6 O 2.71-2.96, 1 Li 2.83
K: 0.3796 0.2154 0.9018  5 O 2.76-2.94, 2 Li 2.90-3.03
K: 0.6044 0.7910 0.0939  4 O 2.70-2.81, 2 Li 2.96-3.02
K: 0.3357 0.5130 0.3404  5 O 2.66-2.97
K: 0.1337 0.7078 0.5983  5 O 2.64-2.92, 2 Li 2.93-2.94
K: 0.1452 0.0013 0.1585  3 O 2.66-2.79
Li: 0.7002 0.5142 0.9292  4 O 1.95-2.01
Li: 0.7933 0.0061 0.5720  4 O 1.96-2.07
Li: 0.9020 0.5570 0.2003  4 O 1.96-2.14
Li: 0.5979 0.7334 0.7907  3 O 1.97-2.09
Li: 0.5984 0.0462 0.2994  4 O 2.02-2.03
Li: 0.3882 0.9543 0.6945  4 O 1.95-2.08
Li: 0.1107 0.4610 0.8031  4 O 2.00-2.16
Li: 0.1952 0.9823 0.4291  4 O 1.95-2.01
Li: 0.3048 0.4916 0.0690  4 O 1.98-2.03
Mn: 0.8013 0.2979 0.0817  4 O 1.80-1.86
Mn: 0.6985 0.7865 0.4284  4 O 1.80-1.86
Mn: 0.2932 0.2059 0.5726  4 O 1.80-1.87
Mn: 0.1610 0.7113 0.9307  4 O 1.86-1.99
O: 0.9090 0.6736 0.8365  1 Mn 1.94, 3 Li 1.95-2.16
O: 0.8729 0.3104 0.9106  1 Mn 1.81, 1 Li 2.00
O: 0.8652 0.9703 0.3869  1 Mn 1.86, 3 Li 2.00-2.02
O: 0.8128 0.5927 0.3992  1 Mn 1.81
O: 0.6321 0.7920 0.6035  1 Mn 1.86, 3 Li 2.04-2.08
O: 0.5510 0.1607 0.6454  1 Mn 1.81, 1 Li 1.97
O: 0.6946 0.0998 0.1121  1 Mn 1.83, 1 Li 2.03
O: 0.3828 0.5330 0.8796  3 Li 1.97-2.03, 1 Mn 1.99
O: 0.6331 0.4822 0.1181  1 Mn 1.86, 3 Li 2.01-2.03
O: 0.3430 0.8963 0.8733  1 Mn 1.94, 2 Li 1.95-2.09
O: 0.4493 0.8390 0.3533  1 Mn 1.80, 1 Li 1.95
O: 0.3576 0.1886 0.4042  1 Mn 1.80, 1 Li 2.01
O: 0.2044 0.3989 0.6228  1 Mn 1.81, 1 Li 2.00
O: 0.1203 0.0222 0.6088  1 Mn 1.87, 3 Li 1.95-1.99
O: 0.1444 0.6978 0.1043  1 Mn 1.86, 2 Li 1.96-2.01
O: 0.0534 0.3444 0.1527  1 Mn 1.80, 1 Li 1.98

---

## K4LiMn4O8 (PBE+U)

Data for crystalline K4LiMn4O8 at its relaxed geometry.

Properties
As for the space-group type: No. 6. Its crystal system is monoclinic. For the excess energy over the best structure of this formula in the dataset, the calculation gives 0.000 eV/atom. As for the total energy: -5.887 eV/atom.

abc: 3.0178 6.6005 13.3041
angles: 89.77 90.00 90.00
With the nearest neighbours (Å) after each atom.
Sites, in units of the cell vectors:
K: 0.5000 0.6143 0.1481  4 O 2.62-2.64
K: 0.5000 0.9486 0.6981  3 O 2.60-2.91, 1 Li 2.77
K: 0.0000 0.3964 0.8442  5 O 2.65-2.81
K: 0.0000 0.0920 0.3193  5 O 2.72-2.88, 2 K 3.02
Li: 0.5000 0.8088 0.5022  3 O 1.86-1.91
Mn: 0.5000 0.1182 0.0870  4 O 1.97-2.01
Mn: 0.0000 0.8932 0.9214  5 O 1.97-2.17
Mn: 0.0000 0.5734 0.3973  5 O 1.98-2.11
Mn: 0.5000 0.4110 0.5805  2 O 2.03
O: 0.0000 0.2929 0.1267  2 Mn 1.97
O: 0.5000 0.7162 0.8847  2 Mn 1.97
O: 0.5000 0.7567 0.3611  1 Li 1.91, 2 Mn 1.99
O: 0.0000 0.2526 0.6453  2 Mn 2.03
O: 0.0000 0.9168 0.0843  3 Mn 2.01-2.17
O: 0.5000 0.0943 0.9211  3 Mn 2.01-2.21
O: 0.0000 0.6709 0.5480  2 Li 1.86
O: 0.5000 0.3812 0.4103  2 Mn 1.98

---

## K2LiMnO (PBE+U)

Data for crystalline K2LiMnO at its relaxed geometry.

Properties
As for the space-group type: No. 123. Its crystal system is tetragonal. For the excess energy over the best structure of this formula in the dataset, the calculation gives 0.000 eV/atom. As for the total energy: -3.623 eV/atom.

abc: 6.0909 3.7155 6.0909
angles: 90.00 90.00 90.00
With the nearest neighbours (Å) after each atom.
Sites, in units of the cell vectors:
K: 0.0000 0.0000 0.5000  2 O 3.05
K: 0.5000 0.0000 0.0000  2 O 3.05
Mn: 0.5000 0.5000 0.5000  8 K 3.57, 2 Mn 3.72
O: 0.0000 0.0000 0.0000  2 Li 1.86
Li: 0.0000 0.5000 0.0000  2 O 1.86

---

## KLiMnO2 (PBE+U)

Data for crystalline KLiMnO2 at its relaxed geometry.

Properties
As for the space-group type: No. 66. Its crystal system is orthorhombic. As for the total energy: -5.610 eV/atom.

abc: 6.4326 6.4326 7.0091
angles: 90.00 90.00 88.19
With the nearest neighbours (Å) after each atom.
Sites, in units of the cell vectors:
K: 0.0000 0.5000 0.0000  6 O 2.85-2.97, 4 Li 3.02
K: 0.5000 0.0000 0.5000  6 O 2.85-2.97, 4 Li 3.02
K: 0.0000 0.0000 0.2500  6 O 2.81-2.89
K: 0.0000 0.0000 0.7500  6 O 2.81-2.89
Li: 0.6402 0.6402 0.2500  4 O 2.05-2.22
Li: 0.3598 0.3598 0.7500  4 O 2.05-2.22
Li: 0.6402 0.6402 0.7500  4 O 2.05-2.22
Li: 0.3598 0.3598 0.2500  4 O 2.05-2.22
Mn: 0.1712 0.6212 0.5000  4 O 2.04-2.18
Mn: 0.6211 0.1712 0.0000  4 O 2.04-2.18
Mn: 0.3788 0.8288 0.0000  4 O 2.04-2.18
Mn: 0.8288 0.3789 0.5000  4 O 2.04-2.18
O: 0.3229 0.6771 0.2500  2 Mn 2.04, 2 Li 2.05
O: 0.3229 0.6771 0.7500  2 Mn 2.04, 2 Li 2.05
O: 0.6771 0.3229 0.7500  2 Mn 2.04, 2 Li 2.05
O: 0.6771 0.3229 0.2500  2 Mn 2.04, 2 Li 2.05
O: 0.1601 0.2960 0.5000  2 Mn 2.10-2.18, 2 Li 2.22
O: 0.7040 0.8399 0.0000  2 Mn 2.10-2.18, 2 Li 2.22
O: 0.2960 0.1601 0.0000  2 Mn 2.10-2.18, 2 Li 2.22
O: 0.8399 0.7040 0.5000  2 Mn 2.10-2.18, 2 Li 2.22

---

## K2LiMnO (PBE+U)

Data for crystalline K2LiMnO at its relaxed geometry.

Properties
As for the space-group type: No. 123. Its crystal system is tetragonal. For the excess energy over the best structure of this formula in the dataset, the calculation gives 1.063 eV/atom. As for the total energy: -2.559 eV/atom.

abc: 6.6049 5.3036 6.6049
angles: 90.00 90.00 90.00
With the nearest neighbours (Å) after each atom.
Sites, in units of the cell vectors:
K: 0.0000 0.0000 0.5000  2 Mn 3.30
K: 0.5000 0.0000 0.0000  2 Mn 3.30
Mn: 0.0000 0.0000 0.0000  2 Li 2.65
O: 0.5000 0.5000 0.5000  8 K 4.24, 4 Li 4.67
Li: 0.0000 0.5000 0.0000  2 Mn 2.65

---

## K4Li7Mn2O8 (PBE+U)

Data for crystalline K4Li7Mn2O8 at its relaxed geometry.

Properties
As for the space-group type: No. 1. Its crystal system is triclinic. As for the total energy: -5.009 eV/atom.

abc: 5.7010 8.9539 10.9099
angles: 90.01 98.08 90.01
With the nearest neighbours (Å) after each atom.
Sites, in units of the cell vectors:
K: 0.0828 0.0024 0.8384  4 O 2.57-2.86, 2 Li 2.67-2.80
K: 0.1310 0.7562 0.3753  4 O 2.69-2.97, 3 Li 2.83-2.94
K: 0.4250 0.5019 0.6613  4 O 2.57-2.86, 2 Li 2.67-2.80
K: 0.6219 0.7516 0.8573  3 O 2.65-2.78, 3 Li 2.82-2.94
K: 0.3776 0.2558 0.1236  4 O 2.69-2.98, 3 Li 2.83-2.94
K: 0.5988 0.5014 0.3374  4 O 2.63-2.87, 3 Li 2.77-2.91
K: 0.8870 0.2519 0.6415  3 O 2.65-2.77, 3 Li 2.82-2.94
K: 0.9092 0.0018 0.1622  4 O 2.63-2.86, 3 Li 2.77-2.91
Li: 0.0197 0.4986 0.5055  2 O 1.78-1.79
Li: 0.0923 0.7464 0.6909  3 O 1.92-2.07
Li: 0.3250 0.4838 0.9280  4 O 1.93-2.13
Li: 0.1831 0.9837 0.5717  4 O 1.93-2.12
Li: 0.0791 0.4804 0.2051  4 O 1.94-2.16
Li: 0.4154 0.2463 0.8088  3 O 1.92-2.07
Li: 0.4883 0.9967 0.9940  2 O 1.78-1.79
Li: 0.5718 0.0116 0.6910  4 O 2.04-2.15
Li: 0.4294 0.9806 0.2945  4 O 1.94-2.16
Li: 0.5900 0.7538 0.1900  3 O 1.93-2.11
Li: 0.8007 0.0125 0.4353  4 O 2.02-2.10
Li: 0.9361 0.5115 0.8086  4 O 2.04-2.15
Li: 0.7077 0.5125 0.0644  4 O 2.02-2.10
Li: 0.9180 0.2540 0.3097  3 O 1.93-2.11
Mn: 0.3471 0.2089 0.4496  3 O 1.89-1.91
Mn: 0.8406 0.2783 0.9514  4 O 2.05-2.17
Mn: 0.1611 0.7088 0.0502  3 O 1.89-1.91
Mn: 0.6671 0.7784 0.5481  4 O 2.05-2.17
O: 0.1310 0.3169 0.8647  3 Li 1.92-2.11, 1 Mn 2.05
O: 0.1515 0.6886 0.8763  1 Mn 1.90, 3 Li 2.07-2.12
O: 0.1360 0.0564 0.3845  1 Mn 1.89, 1 Li 2.10
O: 0.1692 0.4101 0.3913  1 Li 1.79
O: 0.3573 0.1883 0.6235  1 Mn 1.90, 3 Li 2.07-2.12
O: 0.3765 0.8166 0.6346  3 Li 1.92-2.12, 1 Mn 2.05
O: 0.6374 0.4577 0.8820  3 Li 1.93-2.04, 1 Mn 2.06
O: 0.3386 0.9099 0.1090  1 Li 1.79
O: 0.3720 0.5562 0.1153  1 Mn 1.89, 1 Li 2.10
O: 0.6389 0.0831 0.8808  1 Li 1.78
O: 0.6032 0.1831 0.3563  1 Mn 1.91, 3 Li 2.02-2.13
O: 0.6380 0.8200 0.3603  3 Li 1.93-2.07, 1 Mn 2.07
O: 0.8686 0.5833 0.6193  1 Li 1.78
O: 0.8706 0.9577 0.6178  3 Li 1.93-2.04, 1 Mn 2.06
O: 0.8706 0.3198 0.1394  3 Li 1.93-2.07, 1 Mn 2.07
O: 0.9049 0.6830 0.1434  1 Mn 1.91, 3 Li 2.02-2.13

---

## KLiMnO2 (PBE+U)

Data for crystalline KLiMnO2 at its relaxed geometry.

Properties
As for the space-group type: No. 12. Its crystal system is monoclinic. As for the total energy: -5.639 eV/atom.

abc: 3.4817 5.8669 7.6472
angles: 76.97 76.84 72.74
With the nearest neighbours (Å) after each atom.
Sites, in units of the cell vectors:
K: 0.1600 0.3137 0.3662  7 O 2.93-3.21, 3 Li 3.08-3.18, 1 K 3.12
K: 0.8400 0.6863 0.6338  7 O 2.93-3.21, 3 Li 3.08-3.18, 1 K 3.12
Li: 0.3381 0.3770 0.9468  4 O 1.98-2.16
Li: 0.6619 0.6230 0.0532  4 O 1.98-2.16
Mn: 0.9537 0.9044 0.1883  4 O 2.06-2.20
Mn: 0.0463 0.0956 0.8117  4 O 2.06-2.20
O: 0.5335 0.2416 0.6914  2 Mn 2.06, 1 Li 2.16
O: 0.4665 0.7584 0.3086  2 Mn 2.06, 1 Li 2.16
O: 0.1610 0.7353 0.9426  3 Li 1.98-2.00, 2 Mn 2.09-2.20
O: 0.8390 0.2647 0.0574  3 Li 1.98-2.00, 2 Mn 2.09-2.20

---

## KLi2MnO4 (PBE+U)

Data for crystalline KLi2MnO4 at its relaxed geometry.

Properties
As for the space-group type: No. 121. Its crystal system is tetragonal. As for the total energy: -5.591 eV/atom.

abc: 5.2227 5.2227 5.2227
angles: 118.40 118.40 92.79
With the nearest neighbours (Å) after each atom.
Sites, in units of the cell vectors:
K: 0.5000 0.5000 0.0000  4 O 2.60
Li: 0.7500 0.2500 0.5000  4 O 2.11
Li: 0.2500 0.7500 0.5000  4 O 2.11
Mn: 0.0000 0.0000 0.0000  4 O 1.73
O: 0.6743 0.6743 0.6329  1 Mn 1.73
O: 0.9586 0.3257 0.0000  1 Mn 1.73
O: 0.3257 0.9586 0.0000  1 Mn 1.73
O: 0.0414 0.0414 0.3671  1 Mn 1.73

---

## KLiMn2Si4O12 (PBE+U)

Data for crystalline KLiMn2Si4O12 at its relaxed geometry.

Properties
As for the space-group type: No. 12. Its crystal system is monoclinic. As for the total energy: -7.366 eV/atom.

abc: 5.2535 5.2535 10.3541
angles: 86.01 86.01 118.81
With the nearest neighbours (Å) after each atom.
Sites, in units of the cell vectors:
K: 0.5000 0.5000 0.0000  12 O 3.11-3.21
Li: 0.0000 0.0000 0.5000  6 O 2.12-2.18
Mn: 0.6544 0.3456 0.5000  4 O 1.89-2.04
Mn: 0.3456 0.6544 0.5000  4 O 1.89-2.04
Si: 0.7665 0.1073 0.2300  4 O 1.61-1.66
Si: 0.1073 0.7665 0.2300  4 O 1.61-1.66
Si: 0.2335 0.8927 0.7700  4 O 1.61-1.66
Si: 0.8927 0.2335 0.7700  4 O 1.61-1.66
O: 0.9527 0.9527 0.1724  2 Si 1.65
O: 0.0473 0.0473 0.8276  2 Si 1.65
O: 0.4541 0.9526 0.1641  2 Si 1.66
O: 0.9526 0.4541 0.1641  2 Si 1.66
O: 0.5459 0.0474 0.8359  2 Si 1.66
O: 0.0474 0.5459 0.8359  2 Si 1.66
O: 0.7135 0.0712 0.3865  1 Si 1.61
O: 0.0712 0.7135 0.3865  1 Si 1.61
O: 0.2865 0.9288 0.6135  1 Si 1.61
O: 0.9288 0.2865 0.6135  1 Si 1.61
O: 0.3863 0.3863 0.3992  2 Mn 1.89
O: 0.6137 0.6137 0.6008  2 Mn 1.89